No. 1
Computed, not measured: a relaxed structure of TlCdCo3 at the GGA-PBE level of DFT.

Calculated values
Space-group type: Pm-3m, No. 221
Crystal system: cubic
E_form (eV/atom): 1.567
Calculated volume (Å³/f.u.): 110
Size of the total moment (μB per cell): 4.63

Cell: 4.7878 4.7878 4.7878 Å, 90.00 90.00 90.00°
Fractional coordinates of all 5 atoms:
Co (0.0000, 0.0000, 0.5000)
Tl (0.0000, 0.0000, 0.0000)
Co (0.0000, 0.5000, 0.0000)
Co (0.5000, 0.0000, 0.0000)
Cd (0.5000, 0.5000, 0.5000)

No. 2
Computed, not measured: a relaxed structure of KWAu2 at the GGA-PBE level of DFT.

Calculated values
Space-group type: Pmm2, No. 25
Crystal system: orthorhombic
E_form (eV/atom): 0.622
Calculated volume (Å³/f.u.): 94
Size of the total moment (μB per cell): 0.00

Cell: 2.7136 4.8908 7.0652 Å, 90.00 90.00 90.00°
Fractional coordinates of all 4 atoms:
W (0.5000, 0.5000, 0.8666)
K (0.0000, 0.0000, 0.4754)
Au (0.0000, 0.0000, 0.9195)
Au (0.5000, 0.5000, 0.2385)

No. 3
Computed, not measured: a relaxed structure of Ac2PuBi at the GGA-PBE level of DFT.

Calculated values
Space-group type: R-3m, No. 166
Crystal system: trigonal
E_form (eV/atom): 0.190
Calculated volume (Å³/f.u.): 152
Size of the total moment (μB per cell): 6.32

Cell: 3.7012 3.7012 13.0101 Å, 81.82 81.82 60.00°
Fractional coordinates of all 4 atoms:
Ac (0.9087, 0.9087, 0.2738)
Bi (0.5000, 0.5000, 0.5000)
Ac (0.0913, 0.0913, 0.7262)
Pu (0.0000, 0.0000, 0.0000)

No. 4
Computed, not measured: a relaxed structure of Pu4AsBr5 at the GGA-PBE level of DFT.

Calculated values
Space-group type: C2/m, No. 12
Raw formation energy (kJ per mole of atoms): -121.3
Crystal system: monoclinic
Calculated volume (Å³/f.u.): 309
Size of the total moment (μB per cell): 0.31

Cell: 4.1009 8.4674 9.3027 Å, 101.35 102.73 90.00°
Fractional coordinates of all 10 atoms:
Br (0.8315, 0.6750, 0.6629)
Pu (0.9980, 0.7610, 0.9960)
Br (0.8318, 0.1863, 0.6636)
Pu (0.6624, 0.0681, 0.3249)
Pu (0.0020, 0.2390, 0.0040)
Br (0.1685, 0.3250, 0.3371)
Pu (0.3376, 0.9319, 0.6751)
Br (0.1682, 0.8137, 0.3364)
As (0.5000, 0.0000, 0.0000)
Br (0.5000, 0.5000, 0.0000)

No. 5
Computed, not measured: a relaxed structure of ErCd2I6 at the GGA-PBE level of DFT.

Calculated values
Space-group type: C2/c, No. 15
Raw formation energy (kJ per mole of atoms): -73.0
Crystal system: monoclinic
Calculated volume (Å³/f.u.): 398
Size of the total moment (μB per cell): 0.00

Cell: 7.8623 10.1558 10.1558 Å, 82.98 83.46 83.46°
Fractional coordinates of all 18 atoms:
I (0.1182, 0.1170, 0.6486)
Cd (0.8295, 0.4130, 0.2260)
Er (0.7500, 0.9124, 0.0876)
I (0.8818, 0.8830, 0.3514)
I (0.1618, 0.4638, 0.2817)
Er (0.2500, 0.0876, 0.9124)
I (0.6182, 0.6486, 0.1170)
Cd (0.6705, 0.7740, 0.5870)
Cd (0.3295, 0.2260, 0.4130)
I (0.3818, 0.3514, 0.8830)
I (0.6618, 0.2817, 0.4638)
I (0.1083, 0.8077, 0.9673)
I (0.3382, 0.7183, 0.5362)
Cd (0.1705, 0.5870, 0.7740)
I (0.8382, 0.5362, 0.7183)
I (0.6083, 0.9673, 0.8077)
I (0.8917, 0.1923, 0.0327)
I (0.3917, 0.0327, 0.1923)

No. 6
Computed, not measured: a relaxed structure of Ho4Sn3H2 at the GGA-PBE level of DFT.

Calculated values
Space-group type: C2/c, No. 15
Crystal system: monoclinic
Total DFT energy (no corrections) (eV/atom): -4.746
Calculated volume (Å³/f.u.): 197
Size of the total moment (μB per cell): 0.00

Cell: 6.3907 8.1897 8.1897 Å, 71.06 79.17 79.17°
Fractional coordinates of all 18 atoms:
Sn (0.7500, 0.4932, 0.5068)
Sn (0.4339, 0.2145, 0.0052)
H (0.9360, 0.4063, 0.1401)
Ho (0.0351, 0.6572, 0.1207)
H (0.0640, 0.5937, 0.8599)
Sn (0.2500, 0.5068, 0.4932)
Ho (0.9649, 0.3428, 0.8793)
Ho (0.9092, 0.7749, 0.6147)
Ho (0.5351, 0.1207, 0.6572)
Sn (0.9339, 0.0052, 0.2145)
Ho (0.4092, 0.6147, 0.7749)
Ho (0.4649, 0.8793, 0.3428)
Ho (0.0908, 0.2251, 0.3853)
Sn (0.0661, 0.9948, 0.7855)
H (0.4360, 0.1401, 0.4063)
Sn (0.5661, 0.7855, 0.9948)
H (0.5640, 0.8599, 0.5937)
Ho (0.5908, 0.3853, 0.2251)

Which value of calculated volume does entry 5 give? 398 Å³/f.u.